## LaZr2AsF (SCAN)

Data for a PBEsol-optimized structure of LaZr2AsF.

Its uncorrected formation energy is -0.25 eV per atom. Its total energy is -25.898 eV/atom. The calculation puts the density of states at the Fermi level at 5.129 states/eV/f.u.

a = 5.172 Å, b = 5.172 Å, c = 4.489 Å
α = 90.00°, β = 90.00°, γ = 90.00°
Space group P4/mmm (No. 123)
Symmetry-distinct sites (fractional):
La  0.000  0.000  0.000
Zr  0.000  0.500  0.500
As  0.500  0.500  0.500
F  0.500  0.500  0.000

## ReMo3 (SCAN)

Data for a PBEsol-optimized structure of ReMo3.

Its total energy is -43.943 eV/atom. The calculation puts the density of states at the Fermi level at 2.927 states/eV/f.u. As for the formation energy from the elements: -0.019 eV/f.u.

a = 6.228 Å, b = 6.228 Å, c = 6.228 Å
α = 90.00°, β = 90.00°, γ = 90.00°
Space group Fm-3m (No. 225)
Symmetry-distinct sites (fractional):
Re  0.000  0.000  0.000
Mo  0.000  0.000  0.500
Mo  0.250  0.250  0.250

## ScCo2Re (SCAN)

Data for a PBEsol-optimized structure of ScCo2Re.

Its total energy is -29.760 eV/atom. The calculation puts the density of states at the Fermi level at 3.989 states/eV/f.u. The energy above the most stable polymorph in this dataset is 0.216 eV/atom. As for the formation energy from the elements: 0.901 eV/f.u.

a = 3.618 Å, b = 3.618 Å, c = 8.027 Å
α = 90.00°, β = 90.00°, γ = 90.00°
Space group I-4m2 (No. 119)
Symmetry-distinct sites (fractional):
Sc  0.000  0.000  0.000
Co  0.000  0.000  0.500
Co  0.000  0.500  0.250
Re  0.000  0.500  0.750

Q: Number 3 is which compound?
A: ScCo2Re